Entry 1:
First-principles (GGA-PBE) data for a relaxed Li2Cu5P4O16 crystal, as listed in Alexandria via LeMat-Bulk.

extended XYZ file:
```
27
Lattice="5.3896 0.0000 0.0000 1.3514 7.6609 0.0000 0.4960 3.8460 7.6114" Properties=species:S:1:pos:R:3 pbc="T T T"
Li 0.9116 1.4967 1.5525
Li 6.3254 10.0102 6.0589
Cu 1.9399 4.9482 5.9441
Cu 2.3400 4.4874 2.1435
Cu 2.9428 1.9230 3.8057
Cu 4.8969 7.0195 5.4678
Cu 5.2970 6.5587 1.6673
P 2.1240 7.2097 3.8255
P 3.6493 9.6199 6.9276
P 3.5876 1.8870 0.6838
P 5.1130 4.2972 3.7859
O 0.9195 3.5244 3.1842
O 1.6012 6.2598 2.6760
O 2.7584 10.7802 6.3893
O 2.2815 4.8940 0.1982
O 3.1020 8.1875 3.1149
O 2.8577 6.3632 4.9107
O 2.2532 1.4136 0.0706
O 4.0973 8.8196 5.6239
O 3.1397 2.6873 1.9875
O 4.9838 10.0933 7.5408
O 4.3792 5.1437 2.7007
O 4.1350 3.3194 4.4965
O 4.9555 6.6129 7.4132
O 4.4785 0.7268 1.2221
O 5.6358 5.2471 4.9354
O 6.3175 7.9825 4.4272
```

total energy = -168.8 eV for the cell shown
DOS at the Fermi energy = 0.094 states/eV per atom
space-group type = No. 2

---

Entry 2:
First-principles (GGA-PBE) data for a relaxed ScPtW2 crystal, as listed in Alexandria via LeMat-Bulk.

extended XYZ file:
```
4
Lattice="3.8096 0.0000 0.0000 0.0000 3.8096 0.0000 0.0000 0.0000 4.6609" Properties=species:S:1:pos:R:3 pbc="T T T"
Sc 0.0000 0.0000 0.0000
Pt 1.9048 1.9048 0.0000
W 0.0000 1.9048 2.3305
W 1.9048 0.0000 2.3305
```

total energy = -38.9 eV for the cell shown
DOS at the Fermi energy = 0.618 states/eV per atom
space-group type = No. 123
E_form = -150 meV per atom